Record 1
A relaxed Er2TaS5 crystal. Source: the Alexandria database, functional PBE.

Output
The calculation puts the formation energy from raw total energies at -1.49 eV/atom. Its crystal system is orthorhombic. The density of states at the Fermi level is 0.443 states/eV per atom.

The structure in CIF format:
```
data_Er2TaS5
_cell_length_a 5.137
_cell_length_b 12.884
_cell_length_c 12.448
_cell_angle_alpha 90.00
_cell_angle_beta 90.00
_cell_angle_gamma 90.00
_space_group_name_H-M_alt 'C m c m'
_space_group_IT_number 63
_space_group_name_Hall '-C 2c 2'
loop_
_atom_site_label
_atom_site_fract_x
_atom_site_fract_y
_atom_site_fract_z
Er1 0.000 0.147 0.063
Ta1 0.000 0.190 0.750
S1 0.000 0.049 0.624
S2 0.000 0.270 0.250
S3 0.000 0.310 0.587
```

***

Record 2
A relaxed ErTaS4 crystal. Source: the Alexandria database, functional PBE.

Output
The calculation puts the formation energy from raw total energies at -1.34 eV/atom. Its crystal system is monoclinic. The density of states at the Fermi level is 0.011 states/eV per atom.

The structure in CIF format:
```
data_ErTaS4
_cell_length_a 14.534
_cell_length_b 3.660
_cell_length_c 6.513
_cell_angle_alpha 90.00
_cell_angle_beta 116.13
_cell_angle_gamma 90.00
_space_group_name_H-M_alt 'C 1 2/m 1'
_space_group_IT_number 12
_space_group_name_Hall '-C 2y'
loop_
_atom_site_label
_atom_site_fract_x
_atom_site_fract_y
_atom_site_fract_z
Er1 0.000 0.000 0.000
Ta1 0.000 0.500 0.500
S1 0.109 0.000 0.463
S2 0.110 0.500 0.909
```

***

Record 3
A relaxed ErTa2S6 crystal. Source: the Alexandria database, functional PBE.

Output
The calculation puts the formation energy from raw total energies at -1.11 eV/atom. Its crystal system is monoclinic. The density of states at the Fermi level is 0.083 states/eV per atom.

The structure in CIF format:
```
data_ErTa2S6
_cell_length_a 11.636
_cell_length_b 4.807
_cell_length_c 8.341
_cell_angle_alpha 90.00
_cell_angle_beta 117.30
_cell_angle_gamma 90.00
_space_group_name_H-M_alt 'C 1 2/m 1'
_space_group_IT_number 12
_space_group_name_Hall '-C 2y'
loop_
_atom_site_label
_atom_site_fract_x
_atom_site_fract_y
_atom_site_fract_z
Er1 0.000 0.000 0.000
Ta1 0.191 0.000 0.581
S1 0.019 0.000 0.692
S2 0.148 0.500 0.111
S3 0.192 0.500 0.600
```

***

Record 4
A relaxed ErTa4S8 crystal. Source: the Alexandria database, functional PBE.

Output
The calculation puts the formation energy from raw total energies at -1.16 eV/atom. Its crystal system is trigonal. The density of states at the Fermi level is 0.433 states/eV per atom.

The structure in CIF format:
```
data_ErTa4S8
_cell_length_a 6.8009
_cell_length_b 6.8009
_cell_length_c 19.6594
_cell_angle_alpha 90.00
_cell_angle_beta 90.00
_cell_angle_gamma 120.00
_space_group_name_H-M_alt 'R -3 m'
_space_group_IT_number 166
_space_group_name_Hall '-R 3 2"'
loop_
_atom_site_label
_atom_site_fract_x
_atom_site_fract_y
_atom_site_fract_z
Er1 0.0000 0.0000 0.0000
Ta1 0.0000 0.0000 0.5000
Ta2 0.0000 0.5000 0.5000
S1 0.0000 0.0000 0.2441
S2 0.0088 0.5044 0.2460
```

***

Record 5
A relaxed ErTaS2 crystal. Source: the Alexandria database, functional PBE.

Output
The calculation puts the formation energy from raw total energies at -0.83 eV/atom. Its crystal system is trigonal. The density of states at the Fermi level is 0.566 states/eV per atom.

The structure in CIF format:
```
data_ErTaS2
_cell_length_a 3.4288
_cell_length_b 3.4288
_cell_length_c 25.5387
_cell_angle_alpha 90.00
_cell_angle_beta 90.00
_cell_angle_gamma 120.00
_space_group_name_H-M_alt 'R -3 m'
_space_group_IT_number 166
_space_group_name_Hall '-R 3 2"'
loop_
_atom_site_label
_atom_site_fract_x
_atom_site_fract_y
_atom_site_fract_z
Er1 0.0000 0.0000 0.0000
Ta1 0.0000 0.0000 0.5000
S1 0.0000 0.0000 0.1061
```

***

Record 6
A relaxed Er2TaS6 crystal. Source: the Alexandria database, functional PBE.

Output
The calculation puts the formation energy from raw total energies at -1.32 eV/atom. Its crystal system is tetragonal. The density of states at the Fermi level is 0.665 states/eV per atom.

The structure in CIF format:
```
data_Er2TaS6
_cell_length_a 6.179
_cell_length_b 6.179
_cell_length_c 11.594
_cell_angle_alpha 90.00
_cell_angle_beta 90.00
_cell_angle_gamma 90.00
_space_group_name_H-M_alt 'P 42/m n m'
_space_group_IT_number 136
_space_group_name_Hall '-P 4n 2n'
loop_
_atom_site_label
_atom_site_fract_x
_atom_site_fract_y
_atom_site_fract_z
Er1 0.000 0.000 0.170
Ta1 0.000 0.000 0.500
S1 0.193 0.193 0.350
S2 0.215 0.215 0.000
```

***

Record 7
A relaxed Er2TaS4 crystal. Source: the Alexandria database, functional PBE.

Output
The calculation puts the formation energy from raw total energies at -1.51 eV/atom. Its crystal system is monoclinic. The density of states at the Fermi level is 0.495 states/eV per atom.

The structure in CIF format:
```
data_Er2TaS4
_cell_length_a 13.479
_cell_length_b 3.763
_cell_length_c 6.893
_cell_angle_alpha 90.00
_cell_angle_beta 119.74
_cell_angle_gamma 90.00
_space_group_name_H-M_alt 'C 1 2/m 1'
_space_group_IT_number 12
_space_group_name_Hall '-C 2y'
loop_
_atom_site_label
_atom_site_fract_x
_atom_site_fract_y
_atom_site_fract_z
Er1 0.230 0.000 0.218
Ta1 0.000 0.500 0.500
S1 0.112 0.500 0.918
S2 0.125 0.000 0.478
```

***

Record 8
A relaxed Er2TaS crystal. Source: the Alexandria database, functional PBE.

Output
The calculation puts the formation energy from raw total energies at -0.20 eV/atom. Its crystal system is trigonal. The density of states at the Fermi level is 0.765 states/eV per atom.

The structure in CIF format:
```
data_Er2TaS
_cell_length_a 3.3944
_cell_length_b 3.3944
_cell_length_c 28.2792
_cell_angle_alpha 90.00
_cell_angle_beta 90.00
_cell_angle_gamma 120.00
_space_group_name_H-M_alt 'R -3 m'
_space_group_IT_number 166
_space_group_name_Hall '-R 3 2"'
loop_
_atom_site_label
_atom_site_fract_x
_atom_site_fract_y
_atom_site_fract_z
Er1 0.0000 0.0000 0.1037
Ta1 0.0000 0.0000 0.0000
S1 0.0000 0.0000 0.5000
```

***

Record 9
A relaxed Tb2Er2S7 crystal. Source: the Alexandria database, functional PBE.

Output
The calculation puts the formation energy from raw total energies at -1.58 eV/atom. Its crystal system is orthorhombic. The density of states at the Fermi level is 0.411 states/eV per atom.

The structure in CIF format:
```
data_Tb2Er2S7
_cell_length_a 9.402
_cell_length_b 9.886
_cell_length_c 5.909
_cell_angle_alpha 90.00
_cell_angle_beta 90.00
_cell_angle_gamma 90.00
_space_group_name_H-M_alt 'C m m m'
_space_group_IT_number 65
_space_group_name_Hall '-C 2 2'
loop_
_atom_site_label
_atom_site_fract_x
_atom_site_fract_y
_atom_site_fract_z
Tb1 0.232 0.000 0.000
Er1 0.000 0.236 0.500
S1 0.000 0.000 0.256
S2 0.000 0.500 0.500
S3 0.250 0.250 0.240
```

***

Record 10
A relaxed Tb3Er2S4 crystal. Source: the Alexandria database, functional PBE.

Output
The calculation puts the formation energy from raw total energies at -1.75 eV/atom. Its crystal system is trigonal. The density of states at the Fermi level is 0.661 states/eV per atom.

The structure in CIF format:
```
data_Tb3Er2S4
_cell_length_a 3.8441
_cell_length_b 3.8441
_cell_length_c 15.9631
_cell_angle_alpha 90.00
_cell_angle_beta 90.00
_cell_angle_gamma 120.00
_space_group_name_H-M_alt 'P -3 m 1'
_space_group_IT_number 164
_space_group_name_Hall '-P 3 2"'
loop_
_atom_site_label
_atom_site_fract_x
_atom_site_fract_y
_atom_site_fract_z
Tb1 0.0000 0.0000 0.0000
Tb2 0.3333 0.6667 0.5907
Er1 0.3333 0.6667 0.2049
S1 0.0000 0.0000 0.3026
S2 0.3333 0.6667 0.8954
```

***

Record 11
A relaxed Tb4Er2S9 crystal. Source: the Alexandria database, functional PBE.

Output
The calculation puts the formation energy from raw total energies at -2.06 eV/atom. Its crystal system is trigonal. The density of states at the Fermi level is 0.000 states/eV per atom.

The structure in CIF format:
```
data_Tb4Er2S9
_cell_length_a 6.9133
_cell_length_b 6.9133
_cell_length_c 18.5131
_cell_angle_alpha 90.00
_cell_angle_beta 90.00
_cell_angle_gamma 120.00
_space_group_name_H-M_alt 'P -3 c 1'
_space_group_IT_number 165
_space_group_name_Hall '-P 3 2"c'
loop_
_atom_site_label
_atom_site_fract_x
_atom_site_fract_y
_atom_site_fract_z
Tb1 0.3333 0.6667 0.1839
Tb2 0.3333 0.6667 0.4818
Er1 0.0000 0.0000 0.1504
S1 0.0000 0.2979 0.2500
S2 0.0342 0.3622 0.5833
```

***

Record 12
A relaxed Tb2Er2S3 crystal. Source: the Alexandria database, functional PBE.

Output
The calculation puts the formation energy from raw total energies at -1.70 eV/atom. Its crystal system is monoclinic. The density of states at the Fermi level is 0.452 states/eV per atom.

The structure in CIF format:
```
data_Tb2Er2S3
_cell_length_a 12.768
_cell_length_b 3.831
_cell_length_c 6.695
_cell_angle_alpha 90.00
_cell_angle_beta 99.93
_cell_angle_gamma 90.00
_space_group_name_H-M_alt 'C 1 2/m 1'
_space_group_IT_number 12
_space_group_name_Hall '-C 2y'
loop_
_atom_site_label
_atom_site_fract_x
_atom_site_fract_y
_atom_site_fract_z
Tb1 0.124 0.000 0.380
Er1 0.126 0.500 0.877
S1 0.000 0.000 0.000
S2 0.248 0.500 0.244
```